(1)
## La12AlNi6 (PBE)

Data for a geometry-optimized La12AlNi6 structure.

Calculated values
* volume: 529.4 Å³ per cell
* energy relative to the elements: -497 kJ/mol of formula units

The structure in POSCAR format:
```
La12AlNi6
1.0
-5.096 5.096 5.096
5.096 -5.096 5.096
5.096 5.096 -5.096
La Al Ni
12 1 6
direct
0.128 0.308 0.819 La
0.181 0.489 0.308 La
0.181 0.872 0.692 La
0.308 0.181 0.489 La
0.308 0.819 0.128 La
0.489 0.308 0.181 La
0.511 0.692 0.819 La
0.692 0.181 0.872 La
0.692 0.819 0.511 La
0.819 0.128 0.308 La
0.819 0.511 0.692 La
0.872 0.692 0.181 La
0.000 0.000 0.000 Al
0.126 0.500 0.626 Ni
0.374 0.874 0.500 Ni
0.500 0.374 0.874 Ni
0.500 0.626 0.126 Ni
0.626 0.126 0.500 Ni
0.874 0.500 0.374 Ni
```



(2)
## LaAl2Ni9 (PBE)

Data for a geometry-optimized LaAl2Ni9 structure.

Calculated values
* volume: 315.2 Å³ per cell
* energy relative to the elements: -391 kJ/mol of formula units

The structure in POSCAR format:
```
LaAl2Ni9
1.0
8.152 0.000 0.000
0.000 8.152 0.000
0.000 0.000 4.743
La Al Ni
2 4 18
direct
0.000 0.000 0.000 La
0.500 0.500 0.000 La
0.119 0.381 0.000 Al
0.381 0.881 0.000 Al
0.619 0.119 0.000 Al
0.881 0.619 0.000 Al
0.000 0.500 0.500 Ni
0.067 0.213 0.500 Ni
0.176 0.676 0.242 Ni
0.176 0.676 0.758 Ni
0.213 0.933 0.500 Ni
0.287 0.433 0.500 Ni
0.324 0.176 0.242 Ni
0.324 0.176 0.758 Ni
0.433 0.713 0.500 Ni
0.500 0.000 0.500 Ni
0.567 0.287 0.500 Ni
0.676 0.824 0.242 Ni
0.676 0.824 0.758 Ni
0.713 0.567 0.500 Ni
0.787 0.067 0.500 Ni
0.824 0.324 0.242 Ni
0.824 0.324 0.758 Ni
0.933 0.787 0.500 Ni
```



(3)
## La3Al4Ni (PBE)

Data for a geometry-optimized La3Al4Ni structure.

Calculated values
* volume: 390.8 Å³ per cell
* energy relative to the elements: -327 kJ/mol of formula units

The structure in POSCAR format:
```
La3Al4Ni
1.0
5.760 0.000 0.000
0.000 11.038 0.000
0.000 0.000 6.147
La Al Ni
6 8 2
direct
0.250 0.013 0.196 La
0.250 0.487 0.196 La
0.250 0.750 0.538 La
0.750 0.250 0.462 La
0.750 0.513 0.804 La
0.750 0.987 0.804 La
0.007 0.750 0.023 Al
0.250 0.123 0.675 Al
0.250 0.377 0.675 Al
0.493 0.750 0.023 Al
0.507 0.250 0.977 Al
0.750 0.623 0.325 Al
0.750 0.877 0.325 Al
0.993 0.250 0.977 Al
0.250 0.250 0.319 Ni
0.750 0.750 0.681 Ni
```



(4)
## La2Al7Ni (PBE)

Data for a geometry-optimized La2Al7Ni structure.

Calculated values
* volume: 405.4 Å³ per cell
* energy relative to the elements: -486 kJ/mol of formula units

The structure in POSCAR format:
```
La2Al7Ni
1.0
-3.071 3.071 10.747
3.071 -3.071 10.747
3.071 3.071 -10.747
La Al Ni
4 14 2
direct
0.000 0.000 0.000 La
0.247 0.747 0.500 La
0.497 0.497 0.000 La
0.750 0.250 0.500 La
0.055 0.555 0.500 Al
0.132 0.103 0.486 Al
0.132 0.645 0.029 Al
0.185 0.185 0.000 Al
0.305 0.305 0.000 Al
0.395 0.382 0.529 Al
0.395 0.867 0.014 Al
0.542 0.042 0.500 Al
0.617 0.103 0.971 Al
0.617 0.645 0.514 Al
0.792 0.792 0.000 Al
0.853 0.382 0.986 Al
0.853 0.867 0.471 Al
0.935 0.435 0.500 Al
0.432 0.932 0.500 Ni
0.682 0.682 0.000 Ni
```



(5)
## La2Al2Ni (PBE)

Data for a geometry-optimized La2Al2Ni structure.

Calculated values
* volume: 228.4 Å³ per cell
* energy relative to the elements: -132 kJ/mol of formula units

The structure in POSCAR format:
```
La2Al2Ni
1.0
6.679 0.000 0.000
0.000 6.679 0.000
0.000 0.000 5.118
La Al Ni
4 4 2
direct
0.165 0.335 0.000 La
0.335 0.835 0.000 La
0.665 0.165 0.000 La
0.835 0.665 0.000 La
0.149 0.649 0.500 Al
0.351 0.149 0.500 Al
0.649 0.851 0.500 Al
0.851 0.351 0.500 Al
0.000 0.000 0.500 Ni
0.500 0.500 0.500 Ni
```



(6)
## La2AlNi4 (PBE)

Data for a geometry-optimized La2AlNi4 structure.

Calculated values
* volume: 284.9 Å³ per cell
* energy relative to the elements: -42 kJ/mol of formula units

The structure in POSCAR format:
```
La2AlNi4
1.0
4.420 0.000 0.000
0.000 4.420 0.000
0.000 0.000 14.584
La Al Ni
4 2 8
direct
0.000 0.000 0.144 La
0.000 0.000 0.856 La
0.500 0.500 0.356 La
0.500 0.500 0.644 La
0.000 0.000 0.500 Al
0.500 0.500 0.000 Al
0.000 0.000 0.343 Ni
0.000 0.000 0.657 Ni
0.000 0.500 0.000 Ni
0.000 0.500 0.500 Ni
0.500 0.000 0.000 Ni
0.500 0.000 0.500 Ni
0.500 0.500 0.157 Ni
0.500 0.500 0.843 Ni
```



(7)
## LaAl5Ni3 (PBE)

Data for a geometry-optimized LaAl5Ni3 structure.

Calculated values
* volume: 301.8 Å³ per cell
* energy relative to the elements: -475 kJ/mol of formula units

The structure in POSCAR format:
```
LaAl5Ni3
1.0
1.987 -6.188 0.000
1.987 6.188 0.000
0.000 0.000 12.270
La Al Ni
2 10 6
direct
0.169 0.831 0.750 La
0.831 0.169 0.250 La
0.000 0.000 0.000 Al
0.000 0.000 0.500 Al
0.203 0.797 0.064 Al
0.203 0.797 0.436 Al
0.445 0.555 0.648 Al
0.445 0.555 0.852 Al
0.555 0.445 0.148 Al
0.555 0.445 0.352 Al
0.797 0.203 0.564 Al
0.797 0.203 0.936 Al
0.122 0.878 0.250 Ni
0.392 0.608 0.037 Ni
0.392 0.608 0.463 Ni
0.608 0.392 0.537 Ni
0.608 0.392 0.963 Ni
0.878 0.122 0.750 Ni
```



(8)
## LaAlNi4 (PBE)

Data for a geometry-optimized LaAlNi4 structure.

Calculated values
* volume: 186.4 Å³ per cell
* energy relative to the elements: -168 kJ/mol of formula units

The structure in POSCAR format:
```
LaAlNi4
1.0
7.126 0.000 0.000
0.000 3.786 0.000
0.000 0.000 6.909
La Al Ni
2 2 8
direct
0.250 0.000 0.148 La
0.750 0.000 0.852 La
0.250 0.000 0.709 Al
0.750 0.000 0.291 Al
0.000 0.000 0.500 Ni
0.051 0.500 0.762 Ni
0.250 0.500 0.464 Ni
0.449 0.500 0.762 Ni
0.500 0.000 0.500 Ni
0.551 0.500 0.238 Ni
0.750 0.500 0.536 Ni
0.949 0.500 0.238 Ni
```



(9)
## LaAl2Ni2 (PBE)

Data for a geometry-optimized LaAl2Ni2 structure.

Calculated values
* volume: 163.3 Å³ per cell
* energy relative to the elements: -141 kJ/mol of formula units

The structure in POSCAR format:
```
LaAl2Ni2
1.0
7.677 0.000 0.000
0.000 7.677 0.000
0.000 0.000 2.771
La Al Ni
2 4 4
direct
0.000 0.000 0.000 La
0.500 0.500 0.000 La
0.121 0.379 0.000 Al
0.379 0.879 0.000 Al
0.621 0.121 0.000 Al
0.879 0.621 0.000 Al
0.169 0.669 0.500 Ni
0.331 0.169 0.500 Ni
0.669 0.831 0.500 Ni
0.831 0.331 0.500 Ni
```



(10)
## LaAl2Ni6 (PBE)

Data for a geometry-optimized LaAl2Ni6 structure.

Calculated values
* volume: 134.3 Å³ per cell
* energy relative to the elements: -140 kJ/mol of formula units

The structure in POSCAR format:
```
LaAl2Ni6
1.0
-1.808 3.129 5.933
1.808 -3.129 5.933
1.808 3.129 -5.933
La Al Ni
1 2 6
direct
0.000 0.000 0.000 La
0.369 0.869 0.500 Al
0.631 0.131 0.500 Al
0.018 0.309 0.709 Ni
0.324 0.500 0.824 Ni
0.399 0.691 0.709 Ni
0.601 0.309 0.291 Ni
0.676 0.500 0.176 Ni
0.982 0.691 0.291 Ni
```



(11)
## La2AlNi5 (PBE)

Data for a geometry-optimized La2AlNi5 structure.

Calculated values
* volume: 291.7 Å³ per cell
* energy relative to the elements: -218 kJ/mol of formula units

The structure in POSCAR format:
```
La2AlNi5
1.0
5.808 0.000 0.000
0.000 5.808 0.000
0.000 0.000 8.649
La Al Ni
4 2 10
direct
0.000 0.500 0.000 La
0.000 0.500 0.500 La
0.500 0.000 0.000 La
0.500 0.000 0.500 La
0.000 0.000 0.234 Al
0.500 0.500 0.734 Al
0.000 0.000 0.949 Ni
0.210 0.210 0.749 Ni
0.210 0.790 0.749 Ni
0.290 0.290 0.249 Ni
0.290 0.710 0.249 Ni
0.500 0.500 0.449 Ni
0.710 0.290 0.249 Ni
0.710 0.710 0.249 Ni
0.790 0.210 0.749 Ni
0.790 0.790 0.749 Ni
```



(12)
## LaAl6Ni4 (PBE)

Data for a geometry-optimized LaAl6Ni4 structure.

Calculated values
* volume: 168.4 Å³ per cell
* energy relative to the elements: -627 kJ/mol of formula units

The structure in POSCAR format:
```
LaAl6Ni4
1.0
6.986 0.000 0.000
-3.493 6.050 0.000
0.000 0.000 3.985
La Al Ni
1 6 4
direct
0.000 0.000 0.000 La
0.203 0.406 0.500 Al
0.203 0.797 0.500 Al
0.533 0.066 0.000 Al
0.533 0.467 0.000 Al
0.594 0.797 0.500 Al
0.934 0.467 0.000 Al
0.333 0.667 0.000 Ni
0.420 0.210 0.500 Ni
0.790 0.210 0.500 Ni
0.790 0.580 0.500 Ni
```



(13)
## La2AlNi9 (PBE)

Data for a geometry-optimized La2AlNi9 structure.

Calculated values
* volume: 173.7 Å³ per cell
* energy relative to the elements: -223 kJ/mol of formula units

The structure in POSCAR format:
```
La2AlNi9
1.0
2.448 1.413 8.368
-2.448 1.413 8.368
0.000 -2.827 8.368
La Al Ni
2 1 9
direct
0.134 0.134 0.134 La
0.866 0.866 0.866 La
0.000 0.000 0.000 Al
0.079 0.578 0.578 Ni
0.333 0.333 0.333 Ni
0.422 0.422 0.921 Ni
0.422 0.921 0.422 Ni
0.500 0.500 0.500 Ni
0.578 0.079 0.578 Ni
0.578 0.578 0.079 Ni
0.667 0.667 0.667 Ni
0.921 0.422 0.422 Ni
```



(14)
## La2Al3Ni2 (PBE)

Data for a geometry-optimized La2Al3Ni2 structure.

Calculated values
* volume: 278.9 Å³ per cell
* energy relative to the elements: -362 kJ/mol of formula units

The structure in POSCAR format:
```
La2Al3Ni2
1.0
10.900 0.000 0.000
0.000 4.130 0.000
-3.626 0.000 6.196
La Al Ni
4 6 4
direct
0.136 0.000 0.275 La
0.364 0.500 0.725 La
0.636 0.500 0.275 La
0.864 0.000 0.725 La
0.000 0.500 0.500 Al
0.153 0.500 0.933 Al
0.347 0.000 0.067 Al
0.500 0.000 0.500 Al
0.653 0.000 0.933 Al
0.847 0.500 0.067 Al
0.131 0.000 0.708 Ni
0.369 0.500 0.292 Ni
0.631 0.500 0.708 Ni
0.869 0.000 0.292 Ni
```



(15)
## La3AlNi (PBE)

Data for a geometry-optimized La3AlNi structure.

Calculated values
* volume: 156.0 Å³ per cell
* energy relative to the elements: -43 kJ/mol of formula units

The structure in POSCAR format:
```
La3AlNi
1.0
5.383 0.000 0.000
0.000 5.383 0.000
0.000 0.000 5.383
La Al Ni
3 1 1
direct
0.000 0.000 0.500 La
0.000 0.500 0.000 La
0.500 0.000 0.000 La
0.500 0.500 0.500 Al
0.000 0.000 0.000 Ni
```



(16)
## La3Al2Ni (PBE)

Data for a geometry-optimized La3Al2Ni structure.

Calculated values
* volume: 330.0 Å³ per cell
* energy relative to the elements: -165 kJ/mol of formula units

The structure in POSCAR format:
```
La3Al2Ni
1.0
4.947 -4.556 0.000
4.947 4.556 0.000
-2.151 0.000 7.322
La Al Ni
6 4 2
direct
0.104 0.896 0.750 La
0.256 0.418 0.024 La
0.418 0.256 0.524 La
0.582 0.744 0.476 La
0.744 0.582 0.976 La
0.896 0.104 0.250 La
0.046 0.571 0.367 Al
0.429 0.954 0.133 Al
0.571 0.046 0.867 Al
0.954 0.429 0.633 Al
0.178 0.822 0.250 Ni
0.822 0.178 0.750 Ni
```



(17)
## La3Al2Ni9 (PBE)

Data for a geometry-optimized La3Al2Ni9 structure.

Calculated values
* volume: 234.5 Å³ per cell
* energy relative to the elements: -512 kJ/mol of formula units

The structure in POSCAR format:
```
La3Al2Ni9
1.0
-2.019 4.686 6.196
2.019 -4.686 6.196
2.019 4.686 -6.196
La Al Ni
3 2 9
direct
0.000 0.000 0.000 La
0.295 0.295 0.000 La
0.705 0.705 0.000 La
0.294 0.500 0.794 Al
0.706 0.500 0.206 Al
0.004 0.303 0.701 Ni
0.170 0.895 0.275 Ni
0.380 0.105 0.275 Ni
0.398 0.697 0.701 Ni
0.500 0.000 0.500 Ni
0.602 0.303 0.299 Ni
0.620 0.895 0.725 Ni
0.830 0.105 0.725 Ni
0.996 0.697 0.299 Ni
```



(18)
## La2Al5Ni3 (PBE)

Data for a geometry-optimized La2Al5Ni3 structure.

Calculated values
* volume: 366.6 Å³ per cell
* energy relative to the elements: -526 kJ/mol of formula units

The structure in POSCAR format:
```
La2Al5Ni3
1.0
-5.186 6.257 2.824
5.186 -6.257 2.824
5.186 6.257 -2.824
La Al Ni
4 10 6
direct
0.142 0.220 0.362 La
0.358 0.720 0.078 La
0.642 0.280 0.922 La
0.858 0.780 0.638 La
0.036 0.750 0.286 Al
0.088 0.661 0.749 Al
0.250 0.250 0.000 Al
0.412 0.161 0.573 Al
0.464 0.750 0.714 Al
0.536 0.250 0.286 Al
0.588 0.839 0.427 Al
0.750 0.750 0.000 Al
0.912 0.339 0.251 Al
0.964 0.250 0.714 Al
0.141 0.899 0.040 Ni
0.250 0.750 0.500 Ni
0.359 0.399 0.758 Ni
0.641 0.601 0.242 Ni
0.750 0.250 0.500 Ni
0.859 0.101 0.960 Ni
```



(19)
## LaAl8Ni2 (PBE)

Data for a geometry-optimized LaAl8Ni2 structure.

Calculated values
* volume: 254.2 Å³ per cell
* energy relative to the elements: -5 kJ/mol of formula units

The structure in POSCAR format:
```
LaAl8Ni2
1.0
5.588 0.000 0.000
0.000 5.588 0.000
0.000 0.000 8.142
La Al Ni
1 8 2
direct
0.000 0.000 0.000 La
0.248 0.248 0.328 Al
0.248 0.248 0.672 Al
0.248 0.752 0.328 Al
0.248 0.752 0.672 Al
0.752 0.248 0.328 Al
0.752 0.248 0.672 Al
0.752 0.752 0.328 Al
0.752 0.752 0.672 Al
0.000 0.500 0.500 Ni
0.500 0.000 0.500 Ni
```